# 1
Tb4Nd8Er3 after structural relaxation, computed with PBE.

Output
E_tot in eV per atom: -4.357

Cell and atoms, written as CIF:
```
data_Tb4Nd8Er3
_chemical_formula_sum 'Tb8 Nd16 Er6'
_cell_length_a 13.7873
_cell_length_b 12.2148
_cell_length_c 6.8920
_cell_angle_alpha 90.00
_cell_angle_beta 118.10
_cell_angle_gamma 90.00
_space_group_name_H-M_alt 'C 1 2/m 1'
_space_group_IT_number 12
loop_
_space_group_symop_operation_xyz
'x,y,z'
'-x,-y,-z'
'-x,y,-z'
'x,-y,z'
'x+1/2,y+1/2,z'
'-x+1/2,-y+1/2,-z'
'-x+1/2,y+1/2,-z'
'x+1/2,-y+1/2,z'
loop_
_atom_site_label
_atom_site_type_symbol
_atom_site_fract_x
_atom_site_fract_y
_atom_site_fract_z
Tb1 Tb 0.0000 0.0000 0.0000
Tb2 Tb 0.0000 0.0000 0.5000
Tb3 Tb 0.2500 0.2500 0.0000
Nd1 Nd 0.0000 0.2470 0.5000
Nd2 Nd 0.0000 0.2957 0.0000
Nd3 Nd 0.2025 0.5000 0.1721
Nd4 Nd 0.2445 0.0000 0.2914
Er1 Er 0.0000 0.5000 0.5000
Er2 Er 0.2500 0.2500 0.5000
```

# 2
Tb4Nd5Er after structural relaxation, computed with PBE.

Output
Energy above the most stable polymorph in this dataset in meV/atom: 0.0

Cell and atoms, written as CIF:
```
data_Tb4Nd5Er
_chemical_formula_sum 'Tb4 Nd5 Er1'
_cell_length_a 3.6139
_cell_length_b 9.5496
_cell_length_c 10.2440
_cell_angle_alpha 74.40
_cell_angle_beta 89.95
_cell_angle_gamma 79.12
_space_group_name_H-M_alt 'P -1'
_space_group_IT_number 2
loop_
_space_group_symop_operation_xyz
'x,y,z'
'-x,-y,-z'
loop_
_atom_site_label
_atom_site_type_symbol
_atom_site_fract_x
_atom_site_fract_y
_atom_site_fract_z
Tb1 Tb 0.0998 0.2998 0.2955
Tb2 Tb 0.3006 0.8989 0.9003
Nd1 Nd 0.0994 0.3012 0.8044
Nd2 Nd 0.2997 0.9004 0.3997
Nd3 Nd 0.5000 0.5000 0.5000
Er1 Er 0.5000 0.5000 0.0000
```

# 3
Tb4Nd7Er after structural relaxation, computed with PBE.

Output
Energy above the most stable polymorph in this dataset in meV/atom: 0.0

Cell and atoms, written as CIF:
```
data_Tb4Nd7Er
_chemical_formula_sum 'Tb4 Nd7 Er1'
_cell_length_a 6.3350
_cell_length_b 7.3058
_cell_length_c 9.0221
_cell_angle_alpha 89.97
_cell_angle_beta 76.49
_cell_angle_gamma 89.98
_space_group_name_H-M_alt 'P -1'
_space_group_IT_number 2
loop_
_space_group_symop_operation_xyz
'x,y,z'
'-x,-y,-z'
loop_
_atom_site_label
_atom_site_type_symbol
_atom_site_fract_x
_atom_site_fract_y
_atom_site_fract_z
Tb1 Tb 0.2213 0.9999 0.3349
Tb2 Tb 0.2775 0.2485 0.6683
Nd1 Nd 0.0000 0.0000 0.0000
Nd2 Nd 0.2212 0.5001 0.3342
Nd3 Nd 0.2788 0.7507 0.6669
Nd4 Nd 0.4989 0.2488 0.9989
Er1 Er 0.0000 0.5000 0.0000
```

# 4
Tb10Nd4Er after structural relaxation, computed with PBE.

Output
E_tot in eV per atom: -4.405

Cell and atoms, written as CIF:
```
data_Tb10Nd4Er
_chemical_formula_sum 'Tb20 Nd8 Er2'
_cell_length_a 11.3427
_cell_length_b 11.3427
_cell_length_c 7.9452
_cell_angle_alpha 90.00
_cell_angle_beta 90.00
_cell_angle_gamma 90.00
_space_group_name_H-M_alt 'I 4/m m m'
_space_group_IT_number 139
_space_group_name_Hall '-I 4 2'
loop_
_atom_site_label
_atom_site_type_symbol
_atom_site_fract_x
_atom_site_fract_y
_atom_site_fract_z
Tb1 Tb 0.0000 0.2088 0.2079
Tb2 Tb 0.0000 0.5000 0.2500
Nd1 Nd 0.2281 0.2281 0.5000
Er1 Er 0.0000 0.0000 0.5000
```

# 5
Tb12NdEr3 after structural relaxation, computed with PBE.

Output
E_tot in eV per atom: -4.608

Cell and atoms, written as CIF:
```
data_Tb12NdEr3
_chemical_formula_sum 'Tb12 Nd1 Er3'
_cell_length_a 5.0306
_cell_length_b 5.0306
_cell_length_c 20.1218
_cell_angle_alpha 90.00
_cell_angle_beta 90.00
_cell_angle_gamma 90.00
_space_group_name_H-M_alt 'P 4/m m m'
_space_group_IT_number 123
_space_group_name_Hall '-P 4 2'
loop_
_atom_site_label
_atom_site_type_symbol
_atom_site_fract_x
_atom_site_fract_y
_atom_site_fract_z
Tb1 Tb 0.0000 0.0000 0.0000
Tb2 Tb 0.0000 0.0000 0.2480
Tb3 Tb 0.0000 0.0000 0.5000
Tb4 Tb 0.0000 0.5000 0.1242
Tb5 Tb 0.0000 0.5000 0.3728
Nd1 Nd 0.5000 0.5000 0.5000
Er1 Er 0.5000 0.5000 0.0000
Er2 Er 0.5000 0.5000 0.2485
```

# 6
Tb4NdEr after structural relaxation, computed with PBE.

Output
Energy above the most stable polymorph in this dataset in meV/atom: 250.3

Cell and atoms, written as CIF:
```
data_Tb4NdEr
_chemical_formula_sum 'Tb16 Nd4 Er4'
_cell_length_a 9.3257
_cell_length_b 9.3257
_cell_length_c 9.3257
_cell_angle_alpha 90.00
_cell_angle_beta 90.00
_cell_angle_gamma 90.00
_space_group_name_H-M_alt 'F -4 3 m'
_space_group_IT_number 216
_space_group_name_Hall 'F -4 2 3'
loop_
_atom_site_label
_atom_site_type_symbol
_atom_site_fract_x
_atom_site_fract_y
_atom_site_fract_z
Tb1 Tb 0.1247 0.1247 0.1247
Nd1 Nd 0.0000 0.0000 0.5000
Er1 Er 0.2500 0.2500 0.7500
```

# 7
Tb8Nd5Er after structural relaxation, computed with PBE.

Output
E_tot in eV per atom: -4.438

Cell and atoms, written as CIF:
```
data_Tb8Nd5Er
_chemical_formula_sum 'Tb16 Nd10 Er2'
_cell_length_a 12.7525
_cell_length_b 10.0594
_cell_length_c 9.4155
_cell_angle_alpha 90.00
_cell_angle_beta 128.62
_cell_angle_gamma 90.00
_space_group_name_H-M_alt 'C 1 2 1'
_space_group_IT_number 5
loop_
_space_group_symop_operation_xyz
'x,y,z'
'-x,y,-z'
'x+1/2,y+1/2,z'
'-x+1/2,y+1/2,-z'
loop_
_atom_site_label
_atom_site_type_symbol
_atom_site_fract_x
_atom_site_fract_y
_atom_site_fract_z
Tb1 Tb 0.0674 0.0000 0.2325
Tb2 Tb 0.1193 0.3448 0.4310
Tb3 Tb 0.1743 0.6805 0.1100
Tb4 Tb 0.1769 0.8468 0.7368
Nd1 Nd 0.0000 0.0974 0.5000
Nd2 Nd 0.0989 0.6636 0.4028
Nd3 Nd 0.2071 0.4953 0.8418
Er1 Er 0.0000 0.3400 0.0000
```

# 8
TbNd5Er after structural relaxation, computed with PBE.

Output
E_tot in eV per atom: -4.546

Cell and atoms, written as CIF:
```
data_TbNd5Er
_chemical_formula_sum 'Tb4 Nd20 Er4'
_cell_length_a 6.2039
_cell_length_b 17.6464
_cell_length_c 9.0781
_cell_angle_alpha 90.00
_cell_angle_beta 101.30
_cell_angle_gamma 90.00
_space_group_name_H-M_alt 'C 1 2/c 1'
_space_group_IT_number 15
loop_
_space_group_symop_operation_xyz
'x,y,z'
'-x,-y,-z'
'-x,y,-z+1/2'
'x,-y,z+1/2'
'x+1/2,y+1/2,z'
'-x+1/2,-y+1/2,-z'
'-x+1/2,y+1/2,-z+1/2'
'x+1/2,-y+1/2,z+1/2'
loop_
_atom_site_label
_atom_site_type_symbol
_atom_site_fract_x
_atom_site_fract_y
_atom_site_fract_z
Tb1 Tb 0.0000 0.0000 0.0000
Nd1 Nd 0.0000 0.1413 0.2500
Nd2 Nd 0.1113 0.3482 0.9645
Nd3 Nd 0.2016 0.1854 0.6461
Er1 Er 0.0000 0.4889 0.2500
```

# 9
TbNd2Er3 after structural relaxation, computed with PBE.

Output
Energy above the most stable polymorph in this dataset in meV/atom: 0.0

Cell and atoms, written as CIF:
```
data_TbNd2Er3
_chemical_formula_sum 'Tb4 Nd8 Er12'
_cell_length_a 12.0134
_cell_length_b 5.6852
_cell_length_c 12.0067
_cell_angle_alpha 90.00
_cell_angle_beta 109.41
_cell_angle_gamma 90.00
_space_group_name_H-M_alt 'C 1 2/m 1'
_space_group_IT_number 12
loop_
_space_group_symop_operation_xyz
'x,y,z'
'-x,-y,-z'
'-x,y,-z'
'x,-y,z'
'x+1/2,y+1/2,z'
'-x+1/2,-y+1/2,-z'
'-x+1/2,y+1/2,-z'
'x+1/2,-y+1/2,z'
loop_
_atom_site_label
_atom_site_type_symbol
_atom_site_fract_x
_atom_site_fract_y
_atom_site_fract_z
Tb1 Tb 0.1655 0.0000 0.3328
Nd1 Nd 0.1248 0.0000 0.6254
Nd2 Nd 0.1248 0.5000 0.1237
Er1 Er 0.0835 0.5000 0.4168
Er2 Er 0.0835 0.0000 0.9169
Er3 Er 0.1673 0.5000 0.8335
```

# 10
Tb7NdEr3 after structural relaxation, computed with PBE.

Output
Energy above the most stable polymorph in this dataset in meV/atom: 56.9

Cell and atoms, written as CIF:
```
data_Tb7NdEr3
_chemical_formula_sum 'Tb7 Nd1 Er3'
_cell_length_a 7.0687
_cell_length_b 7.0687
_cell_length_c 8.5839
_cell_angle_alpha 90.00
_cell_angle_beta 90.00
_cell_angle_gamma 120.00
_space_group_name_H-M_alt 'P 3 m 1'
_space_group_IT_number 156
loop_
_space_group_symop_operation_xyz
'x,y,z'
'-y,x-y,z'
'-x+y,-x,z'
'-y,-x,z'
'-x+y,y,z'
'x,x-y,z'
loop_
_atom_site_label
_atom_site_type_symbol
_atom_site_fract_x
_atom_site_fract_y
_atom_site_fract_z
Tb1 Tb 0.0000 0.0000 0.0000
Tb2 Tb 0.1653 0.3307 0.6690
Tb3 Tb 0.5012 0.0024 0.0064
Nd1 Nd 0.6667 0.3333 0.6759
Er1 Er 0.3324 0.1662 0.3362
```

# 11
Tb2NdEr after structural relaxation, computed with PBE.

Output
Energy above the most stable polymorph in this dataset in meV/atom: 16.5

Cell and atoms, written as CIF:
```
data_Tb2NdEr
_chemical_formula_sum 'Tb4 Nd2 Er2'
_cell_length_a 5.0627
_cell_length_b 5.0627
_cell_length_c 10.1070
_cell_angle_alpha 90.00
_cell_angle_beta 90.00
_cell_angle_gamma 90.00
_space_group_name_H-M_alt 'I 4/m m m'
_space_group_IT_number 139
_space_group_name_Hall '-I 4 2'
loop_
_atom_site_label
_atom_site_type_symbol
_atom_site_fract_x
_atom_site_fract_y
_atom_site_fract_z
Tb1 Tb 0.0000 0.5000 0.2500
Nd1 Nd 0.0000 0.0000 0.0000
Er1 Er 0.0000 0.0000 0.5000
```

# 12
Tb4Nd7Er after structural relaxation, computed with PBE.

Output
Energy above the most stable polymorph in this dataset in meV/atom: 209.6

Cell and atoms, written as CIF:
```
data_Tb4Nd7Er
_chemical_formula_sum 'Tb8 Nd14 Er2'
_cell_length_a 16.2519
_cell_length_b 6.0173
_cell_length_c 9.4151
_cell_angle_alpha 90.00
_cell_angle_beta 115.97
_cell_angle_gamma 90.00
_space_group_name_H-M_alt 'C 1 2/m 1'
_space_group_IT_number 12
loop_
_space_group_symop_operation_xyz
'x,y,z'
'-x,-y,-z'
'-x,y,-z'
'x,-y,z'
'x+1/2,y+1/2,z'
'-x+1/2,-y+1/2,-z'
'-x+1/2,y+1/2,-z'
'x+1/2,-y+1/2,z'
loop_
_atom_site_label
_atom_site_type_symbol
_atom_site_fract_x
_atom_site_fract_y
_atom_site_fract_z
Tb1 Tb 0.0720 0.0000 0.1974
Tb2 Tb 0.1726 0.0000 0.8890
Nd1 Nd 0.0000 0.0000 0.5000
Nd2 Nd 0.0830 0.5000 0.9423
Nd3 Nd 0.2094 0.5000 0.3794
Nd4 Nd 0.2086 0.5000 0.7294
Er1 Er 0.0000 0.5000 0.5000
```